Compound: Re3SnP
Source: Alexandria
Functional: PBE-GGA
Structure: optimized geometry

Structure (extended XYZ):
```
5
Lattice="4.4262 0.0000 0.0000 0.0000 4.4262 0.0000 0.0000 0.0000 4.4262" Properties=species:S:1:pos:R:3 pbc="T T T"
Re 0.0000 0.0000 2.2131
Re 0.0000 2.2131 0.0000
Re 2.2131 0.0000 0.0000
Sn 2.2131 2.2131 2.2131
P 0.0000 0.0000 0.0000
```

Properties
energy: -8.478 eV/atom
energy above the most stable polymorph in this dataset: 0.0 meV per atom
theoretical density: 13564 kg/m3
energy relative to the elements: 4.37 eV per formula unit
volume: 17.342 A^3/atom